No. 1
DFT (GGA-PBE) results for a relaxed structure of ZrV2Ru2.

Properties
formation enthalpy at 0 K = -0.10 eV per atom

Cell lengths 7.372, 7.372, 2.885 Å; angles 90.00, 90.00, 90.00 degrees
Atoms (fractional coordinates):
Zr 0.000 0.000 0.000
Zr 0.500 0.500 0.000
V 0.153 0.347 0.500
V 0.347 0.847 0.500
V 0.653 0.153 0.500
V 0.847 0.653 0.500
Ru 0.141 0.641 0.000
Ru 0.359 0.141 0.000
Ru 0.641 0.859 0.000
Ru 0.859 0.359 0.000


No. 2
DFT (GGA-PBE) results for a relaxed structure of Gd2ZrSn.

Properties
formation enthalpy at 0 K = -0.27 eV per atom

Cell lengths 4.018, 4.018, 6.772 Å; angles 90.00, 90.00, 90.00 degrees
Atoms (fractional coordinates):
Gd 0.000 0.000 0.241
Gd 0.000 0.000 0.759
Zr 0.500 0.500 0.500
Sn 0.500 0.500 0.000